# CaFeW

A crystal of CaFeW relaxed with PBEsol (SCAN, the Alexandria database).

Properties
Size of the total moment = 1.34 μB per cell
DOS(E_F) = 3.23 states/eV/cell
Calculated formation energy = 0.602 eV per atom
Offset from the most stable computed form = 0 meV/atom

a = 3.070 Å, b = 3.070 Å, c = 6.165 Å
α = 104.42°, β = 104.42°, γ = 90.00°
Element x y z (fractional)
Fe 0.297 0.297 0.594
Ca 0.994 0.994 0.989
W 0.709 0.709 0.418

***

# CaFeW

A crystal of CaFeW relaxed with PBEsol (SCAN, the Alexandria database).

Properties
Size of the total moment = 0.00 μB per cell
DOS(E_F) = 2.33 states/eV/cell
Calculated formation energy = 0.969 eV per atom
Offset from the most stable computed form = 366 meV/atom

a = 3.159 Å, b = 3.159 Å, c = 6.580 Å
α = 90.00°, β = 90.00°, γ = 120.00°
Element x y z (fractional)
Fe 0.333 0.667 0.615
W 0.667 0.333 0.405
Ca 0.000 0.000 0.980

***

# Ca2YFe

A crystal of Ca2YFe relaxed with PBEsol (SCAN, the Alexandria database).

Properties
Size of the total moment = 1.32 μB per cell
DOS(E_F) = 4.18 states/eV/cell
Calculated formation energy = 0.364 eV per atom
Offset from the most stable computed form = 0 meV/atom

a = 3.502 Å, b = 6.398 Å, c = 5.768 Å
α = 116.78°, β = 90.00°, γ = 105.88°
Element x y z (fractional)
Ca 0.808 0.615 0.307
Ca 0.996 0.992 0.996
Y 0.184 0.369 0.684
Fe 0.512 0.024 0.513

***

# Ca2YFe

A crystal of Ca2YFe relaxed with PBEsol (SCAN, the Alexandria database).

Properties
Size of the total moment = 1.53 μB per cell
DOS(E_F) = 4.92 states/eV/cell
Calculated formation energy = 0.367 eV per atom
Offset from the most stable computed form = 3 meV/atom

a = 3.343 Å, b = 4.262 Å, c = 8.709 Å
α = 104.16°, β = 101.07°, γ = 90.00°
Element x y z (fractional)
Fe 0.500 0.000 0.000
Ca 0.838 0.838 0.677
Ca 0.162 0.162 0.323
Y 0.000 0.500 0.000